Entry 1:
KU2Tl3Te6 | the Alexandria database | GGA-PBE | optimized geometry; crystal system = monoclinic; Fermi-level density of states = 14.25 states/eV per cell; formation energy from raw total energies = -0.58 eV per atom; total energy = -0.3469 Ry/atom
1.0
10.450 -2.259 0.000
10.450 2.259 0.000
-2.627 0.000 9.468
K U Tl Te
1 2 3 6
Cartesian
0.000 0.000 0.000
5.127 0.000 6.310
13.146 0.000 3.158
-1.314 0.000 4.734
6.737 0.000 1.591
11.535 0.000 7.877
2.184 0.000 5.271
3.390 0.000 1.165
7.983 0.000 6.906
10.289 0.000 2.562
14.883 0.000 8.303
16.089 0.000 4.197

Entry 2:
KUTl2Te4 | the Alexandria database | GGA-PBE | optimized geometry; crystal system = monoclinic; Fermi-level density of states = 5.96 states/eV per cell; formation energy from raw total energies = -0.58 eV per atom; total energy = -0.3150 Ry/atom
1.0
8.334 0.000 0.000
0.000 4.556 0.000
-2.511 0.000 7.969
K U Tl Te
1 1 2 4
Cartesian
0.000 0.000 0.000
4.167 2.278 0.000
-1.256 2.278 3.984
2.911 0.000 3.984
1.851 2.278 1.785
0.473 0.000 6.264
5.349 0.000 1.705
3.971 2.278 6.184

Entry 3:
K3U2TlTe6 | the Alexandria database | GGA-PBE | optimized geometry; crystal system = monoclinic; Fermi-level density of states = 13.42 states/eV per cell; formation energy from raw total energies = -0.82 eV per atom; total energy = -0.3483 Ry/atom
1.0
10.419 -2.286 0.000
10.419 2.286 0.000
-2.505 0.000 9.643
K U Tl Te
3 2 1 6
Cartesian
0.000 0.000 0.000
5.559 0.000 6.353
12.775 0.000 3.289
6.504 0.000 1.572
11.830 0.000 8.070
-1.253 0.000 4.821
2.016 0.000 6.094
3.534 0.000 0.559
9.337 0.000 2.316
8.996 0.000 7.327
14.799 0.000 9.084
16.318 0.000 3.548

Entry 4:
K3UTl2Te6 | the Alexandria database | GGA-PBE | optimized geometry; crystal system = monoclinic; Fermi-level density of states = 10.57 states/eV per cell; formation energy from raw total energies = -0.67 eV per atom; total energy = -0.2827 Ry/atom
1.0
4.089 -7.056 0.000
4.089 7.056 0.000
-2.729 0.000 8.005
K U Tl Te
3 1 2 6
Cartesian
0.000 0.000 0.000
4.089 2.524 0.000
4.089 -2.524 0.000
2.724 0.000 4.002
2.724 4.745 4.002
2.724 -4.745 4.002
1.504 2.117 2.329
0.315 0.000 5.712
1.504 -2.117 2.329
3.944 2.117 5.675
5.133 0.000 2.293
3.944 -2.117 5.675

Entry 5:
K2TlVTe4 | the Alexandria database | GGA-PBE | optimized geometry; crystal system = tetragonal; formation energy from raw total energies = -0.59 eV per atom; total energy = -0.2848 Ry/atom
1.0
-4.265 4.265 4.126
4.265 -4.265 4.126
4.265 4.265 -4.126
K Tl V Te
2 1 1 4
Cartesian
4.265 0.000 0.000
0.000 4.265 0.000
0.000 0.000 0.000
0.000 0.000 4.126
2.853 2.853 -1.548
1.411 1.411 2.579
1.411 -1.411 5.674
-1.411 1.411 5.674

Entry 6:
KTlTe2W | the Alexandria database | GGA-PBE | optimized geometry; crystal system = tetragonal; Fermi-level density of states = 6.14 states/eV per cell; formation energy from raw total energies = 1.65 eV per atom; total energy = -0.2121 Ry/atom
1.0
6.135 0.000 0.000
0.000 6.135 0.000
0.000 0.000 5.792
K Tl Te W
1 1 2 1
Cartesian
0.000 0.000 0.000
3.067 3.067 2.896
0.000 3.067 0.000
3.067 0.000 0.000
0.000 0.000 2.896